# PBE DyYPd3, relaxed
data_DyYPd3
_symmetry_space_group_name_H-M 'P 1 21/c 1'
_symmetry_Int_Tables_number 14
_symmetry_space_group_name_Hall '-P 2ybc'
_cell_length_a 8.4563
_cell_length_b 5.4752
_cell_length_c 9.3269
_cell_angle_alpha 90.00
_cell_angle_beta 106.10
_cell_angle_gamma 90.00
loop_
_atom_site_label
_atom_site_type_symbol
_atom_site_fract_x
_atom_site_fract_y
_atom_site_fract_z
_atom_site_occupancy
Dy1 Dy 0.1794 0.2470 0.1699 1
Y1 Y 0.2641 0.7492 0.9412 1
Pd1 Pd 0.0245 0.7441 0.1313 1
Pd2 Pd 0.3871 0.2492 0.9717 1
Pd3 Pd 0.4990 0.5007 0.2495 1
# Electronic total energy in eV/atom: -6.1690
# Calculated volume in Å³/cell: 414.89
# N(E_F) in states/eV per cell: 13.0


# PBE CdIn2Te, relaxed
data_CdIn2Te
_symmetry_space_group_name_H-M 'P -1'
_symmetry_Int_Tables_number 2
_symmetry_space_group_name_Hall '-P 1'
_cell_length_a 6.5662
_cell_length_b 6.6754
_cell_length_c 6.7510
_cell_angle_alpha 106.25
_cell_angle_beta 102.47
_cell_angle_gamma 117.40
loop_
_atom_site_label
_atom_site_type_symbol
_atom_site_fract_x
_atom_site_fract_y
_atom_site_fract_z
_atom_site_occupancy
Cd1 Cd 0.0247 0.3567 0.2893 1
In1 In 0.0775 0.8100 0.2178 1
In2 In 0.4928 0.6527 0.7400 1
Te1 Te 0.3721 0.1336 0.7495 1
# Electronic total energy in eV/atom: -2.5039
# Calculated volume in Å³/cell: 230.69
# Polymorph energy (0 for the lowest one) in eV/atom: 0.000
# N(E_F) in states/eV per cell: 1.7
# Formation energy from raw total energies in kJ/mol of formula units: -47


# PBE LaGa5CuPd2, relaxed
data_LaGa5CuPd2
_symmetry_space_group_name_H-M 'P 4/m m m'
_symmetry_Int_Tables_number 123
_symmetry_space_group_name_Hall '-P 4 2'
_cell_length_a 4.3476
_cell_length_b 4.3476
_cell_length_c 9.9842
_cell_angle_alpha 90.00
_cell_angle_beta 90.00
_cell_angle_gamma 90.00
loop_
_atom_site_label
_atom_site_type_symbol
_atom_site_fract_x
_atom_site_fract_y
_atom_site_fract_z
_atom_site_occupancy
La1 La 0.0000 0.0000 0.0000 1
Ga1 Ga 0.0000 0.5000 0.3589 1
Ga2 Ga 0.5000 0.5000 0.0000 1
Cu1 Cu 0.0000 0.0000 0.5000 1
Pd1 Pd 0.5000 0.5000 0.2349 1
# Electronic total energy in eV/atom: -4.1591
# Calculated volume in Å³/cell: 188.72
# N(E_F) in states/eV per cell: 3.3


# PBE K2TlPt, relaxed
data_K2TlPt
_symmetry_space_group_name_H-M 'F -4 3 m'
_symmetry_Int_Tables_number 216
_symmetry_space_group_name_Hall 'F -4 2 3'
_cell_length_a 7.6692
_cell_length_b 7.6692
_cell_length_c 7.6692
_cell_angle_alpha 90.00
_cell_angle_beta 90.00
_cell_angle_gamma 90.00
loop_
_atom_site_label
_atom_site_type_symbol
_atom_site_fract_x
_atom_site_fract_y
_atom_site_fract_z
_atom_site_occupancy
K1 K 0.0000 0.0000 0.0000 1
K2 K 0.2500 0.2500 0.2500 1
Tl1 Tl 0.0000 0.0000 0.5000 1
Pt1 Pt 0.2500 0.2500 0.7500 1
# Electronic total energy in eV/atom: -2.5977
# Calculated volume in Å³/cell: 451.07
# Polymorph energy (0 for the lowest one) in eV/atom: 0.191
# N(E_F) in states/eV per cell: 9.4


- Among the records above, which one has the highest calculated volume?
  K2TlPt